(1)
VASP calculation (PBE-GGA) on crystalline Cs2PdF4 at its relaxed geometry.

a b c (Å): 9.9032 6.3240 4.3878
angles (deg): 90.00 96.52 90.00
Fractional coordinates of all 14 atoms:
Cs 0.1634 0.0000 0.3126
Cs 0.3366 0.5000 0.6874
Cs 0.6634 0.5000 0.3126
Cs 0.8366 0.0000 0.6874
Pd 0.0000 0.5000 0.0000
Pd 0.5000 0.0000 0.0000
F 0.0933 0.2742 0.7893
F 0.0933 0.7258 0.7893
F 0.4067 0.2258 0.2107
F 0.4067 0.7742 0.2107
F 0.5933 0.2258 0.7893
F 0.5933 0.7742 0.7893
F 0.9067 0.2742 0.2107
F 0.9067 0.7258 0.2107

As for the energy relative to the lowest polymorph listed for this composition: 57 meV per atom.


(2)
VASP calculation (PBE-GGA) on crystalline Cs2PdF4 at its relaxed geometry.

a b c (Å): 6.4101 6.4101 3.8345
angles (deg): 90.00 90.00 90.00
Fractional coordinates of all 7 atoms:
Cs 0.0000 0.5000 0.0000
Cs 0.5000 0.0000 0.0000
Pd 0.0000 0.0000 0.5000
F 0.2205 0.2205 0.5000
F 0.2205 0.7795 0.5000
F 0.7795 0.2205 0.5000
F 0.7795 0.7795 0.5000

As for the energy relative to the lowest polymorph listed for this composition: 0 meV per atom.


(3)
VASP calculation (PBE-GGA) on crystalline Cs2SnPdF6 at its relaxed geometry.

a b c (Å): 6.2429 6.2429 6.2429
angles (deg): 120.07 120.07 89.88
Fractional coordinates of all 10 atoms:
Cs 0.2500 0.7500 0.5000
Cs 0.7500 0.2500 0.5000
Sn 0.0000 0.0000 0.0000
Pd 0.5000 0.5000 0.0000
F 0.2368 0.2480 0.4849
F 0.2420 0.2420 0.0000
F 0.2480 0.7632 0.0112
F 0.7520 0.2368 0.9888
F 0.7580 0.7580 0.0000
F 0.7632 0.7520 0.5151

For the total energy, the calculation gives -4.333 eV per atom.


(4)
VASP calculation (PBE-GGA) on crystalline Cs2SrPdF6 at its relaxed geometry.

a b c (Å): 6.4766 6.4766 5.2223
angles (deg): 99.16 99.16 56.74
Fractional coordinates of all 10 atoms:
Cs 0.2163 0.2163 0.2224
Cs 0.7837 0.7837 0.7776
Sr 0.5000 0.5000 0.0000
Pd 0.0000 0.0000 0.5000
F 0.1541 0.7014 0.2516
F 0.2986 0.8459 0.7484
F 0.3115 0.3115 0.7492
F 0.6885 0.6885 0.2508
F 0.7014 0.1541 0.2516
F 0.8459 0.2986 0.7484

For the total energy, the calculation gives -4.500 eV per atom.


(5)
VASP calculation (PBE-GGA) on crystalline Cs2PtF6 at its relaxed geometry.

a b c (Å): 6.0683 6.0683 4.7566
angles (deg): 90.00 90.00 120.00
Fractional coordinates of all 9 atoms:
Cs 0.3333 0.6667 0.2922
Cs 0.6667 0.3333 0.7078
Pt 0.0000 0.0000 0.0000
F 0.1571 0.3143 0.7749
F 0.1571 0.8429 0.7749
F 0.3143 0.1571 0.2251
F 0.6857 0.8429 0.7749
F 0.8429 0.1571 0.2251
F 0.8429 0.6857 0.2251

As for the energy relative to the lowest polymorph listed for this composition: 0 meV per atom.


(6)
VASP calculation (PBE-GGA) on crystalline Cs2PtF6 at its relaxed geometry.

a b c (Å): 6.0057 6.0057 6.0057
angles (deg): 60.00 60.00 60.00
Fractional coordinates of all 9 atoms:
Cs 0.2500 0.2500 0.2500
Cs 0.7500 0.7500 0.7500
Pt 0.0000 0.0000 0.0000
F 0.2318 0.2318 0.7682
F 0.2318 0.7682 0.2318
F 0.2318 0.7682 0.7682
F 0.7682 0.2318 0.2318
F 0.7682 0.2318 0.7682
F 0.7682 0.7682 0.2318

As for the energy relative to the lowest polymorph listed for this composition: 27 meV per atom.


(7)
VASP calculation (PBE-GGA) on crystalline Cs2TlPtF6 at its relaxed geometry.

a b c (Å): 6.3695 6.3695 6.3695
angles (deg): 60.00 60.00 60.00
Fractional coordinates of all 10 atoms:
Cs 0.2500 0.2500 0.2500
Cs 0.7500 0.7500 0.7500
Tl 0.0000 0.0000 0.0000
Pt 0.5000 0.5000 0.5000
F 0.2696 0.2696 0.7304
F 0.2696 0.7304 0.2696
F 0.2696 0.7304 0.7304
F 0.7304 0.2696 0.2696
F 0.7304 0.2696 0.7304
F 0.7304 0.7304 0.2696

For the total energy, the calculation gives -4.064 eV per atom.


(8)
VASP calculation (PBE-GGA) on crystalline CsPu2F8 at its relaxed geometry.

a b c (Å): 5.3910 5.3910 6.8401
angles (deg): 90.00 90.00 90.00
Fractional coordinates of all 11 atoms:
Cs 0.0000 0.0000 0.0000
Pu 0.0000 0.5000 0.5000
Pu 0.5000 0.0000 0.5000
F 0.2514 0.2514 0.3123
F 0.2514 0.2514 0.6877
F 0.2514 0.7486 0.3123
F 0.2514 0.7486 0.6877
F 0.7486 0.2514 0.3123
F 0.7486 0.2514 0.6877
F 0.7486 0.7486 0.3123
F 0.7486 0.7486 0.6877

For the total energy, the calculation gives -7.451 eV per atom.


(9)
VASP calculation (PBE-GGA) on crystalline CsRb2TaF6 at its relaxed geometry.

a b c (Å): 6.6037 6.6037 6.6037
angles (deg): 60.00 60.00 60.00
Fractional coordinates of all 10 atoms:
Cs 0.0000 0.0000 0.0000
Rb 0.2500 0.2500 0.2500
Rb 0.7500 0.7500 0.7500
Ta 0.5000 0.5000 0.5000
F 0.2815 0.2815 0.7185
F 0.2815 0.7185 0.2815
F 0.2815 0.7185 0.7185
F 0.7185 0.2815 0.2815
F 0.7185 0.2815 0.7185
F 0.7185 0.7185 0.2815

For the total energy, the calculation gives -5.152 eV per atom.


(10)
VASP calculation (PBE-GGA) on crystalline CsRb2TmF6 at its relaxed geometry.

a b c (Å): 6.6707 6.6707 6.6707
angles (deg): 60.00 60.00 60.00
Fractional coordinates of all 10 atoms:
Cs 0.0000 0.0000 0.0000
Rb 0.2500 0.2500 0.2500
Rb 0.7500 0.7500 0.7500
Tm 0.5000 0.5000 0.5000
F 0.2782 0.2782 0.7218
F 0.2782 0.7218 0.2782
F 0.2782 0.7218 0.7218
F 0.7218 0.2782 0.2782
F 0.7218 0.2782 0.7218
F 0.7218 0.7218 0.2782

For the total energy, the calculation gives -5.076 eV per atom.


(11)
VASP calculation (PBE-GGA) on crystalline CsReF6 at its relaxed geometry.

a b c (Å): 4.9429 4.9429 4.9429
angles (deg): 96.81 96.81 96.81
Fractional coordinates of all 8 atoms:
Cs 0.0000 0.0000 0.0000
Re 0.5000 0.5000 0.5000
F 0.1636 0.3106 0.5755
F 0.3106 0.5755 0.1636
F 0.4245 0.8364 0.6894
F 0.5755 0.1636 0.3106
F 0.6894 0.4245 0.8364
F 0.8364 0.6894 0.4245

For the total energy, the calculation gives -5.377 eV per atom.


(12)
VASP calculation (PBE-GGA) on crystalline CsSm3F10 at its relaxed geometry.

a b c (Å): 7.8393 7.8393 4.0831
angles (deg): 90.01 90.01 60.02
Fractional coordinates of all 14 atoms:
Cs 0.0000 0.0000 0.0000
Sm 0.5052 0.5052 0.4967
Sm 0.5060 0.9857 0.4844
Sm 0.9857 0.5060 0.4844
F 0.1048 0.4446 0.9860
F 0.1694 0.6583 0.5132
F 0.1699 0.1699 0.5059
F 0.3988 0.7973 0.2350
F 0.4444 0.4444 0.9980
F 0.4446 0.1048 0.9860
F 0.6583 0.1694 0.5132
F 0.6664 0.6664 0.7109
F 0.7973 0.3988 0.2350
F 0.8002 0.8002 0.2305

For the total energy, the calculation gives -6.229 eV per atom.